No. 1
CoAsN2F after structural relaxation. Source: Alexandria via LeMat-Bulk, functional PBE with a Hubbard U.

Unit cell a=3.8092 b=3.8092 c=3.8872 alpha=90.00 beta=90.00 gamma=90.00
Last column: nearest neighbours and their distance in Å.
Atoms (fractional coordinates):
Co1 0.0000 0.0000 0.0000  4 F 2.69, 8 N 2.72
As1 0.5000 0.5000 0.5000  4 N 1.90, 2 F 1.94
N1 0.0000 0.5000 0.5000  2 As 1.90
N2 0.5000 0.0000 0.5000  2 As 1.90
F1 0.5000 0.5000 0.0000  2 As 1.94

Values from the calculation:
- Magnetization: 2.96 μB/cell
- Polymorph energy (0 for the lowest one): 0 meV/atom

No. 2
CoAsOF2 after structural relaxation. Source: Alexandria via LeMat-Bulk, functional PBE with a Hubbard U.

Unit cell a=4.2653 b=4.2653 c=3.9858 alpha=90.00 beta=90.00 gamma=90.00
Last column: nearest neighbours and their distance in Å.
Atoms (fractional coordinates):
Co1 0.0000 0.0000 0.0000  8 F 2.92, 4 O 3.02
As1 0.5000 0.5000 0.5000  2 O 1.99, 4 F 2.13
O1 0.5000 0.5000 0.0000  2 As 1.99
F1 0.0000 0.5000 0.5000  2 As 2.13
F2 0.5000 0.0000 0.5000  2 As 2.13

Values from the calculation:
- Magnetization: 2.44 μB/cell
- Polymorph energy (0 for the lowest one): 100 meV/atom

No. 3
CoAsOF2 after structural relaxation. Source: Alexandria via LeMat-Bulk, functional PBE with a Hubbard U.

Unit cell a=4.0956 b=4.0956 c=3.7503 alpha=90.00 beta=90.00 gamma=90.00
Last column: nearest neighbours and their distance in Å.
Atoms (fractional coordinates):
Co1 0.0000 0.0000 0.0000  2 O 1.88, 4 F 2.05
As1 0.5000 0.5000 0.5000  8 F 2.78, 4 O 2.90
O1 0.0000 0.0000 0.5000  2 Co 1.88
F1 0.0000 0.5000 0.0000  2 Co 2.05
F2 0.5000 0.0000 0.0000  2 Co 2.05

Values from the calculation:
- Magnetization: 3.28 μB/cell
- Polymorph energy (0 for the lowest one): 0 meV/atom